No. 1
VASP calculation (PBE with a Hubbard U) on crystalline BaLiMoF6 at its relaxed geometry.

a = 7.692 Å, b = 7.692 Å, c = 7.692 Å
α = 126.05°, β = 118.18°, γ = 86.52°
Element x y z (fractional)
Ba: 0.256 0.006 0.250
Ba: 0.744 0.994 0.750
Li: 0.000 0.000 0.500
Li: 0.000 0.500 0.000
Mo: 0.000 0.500 0.500
Mo: 0.500 0.500 0.000
F: 0.035 0.785 0.250
F: 0.056 0.369 0.210
F: 0.056 0.847 0.688
F: 0.319 0.569 0.750
F: 0.341 0.153 0.710
F: 0.341 0.631 0.188
F: 0.659 0.369 0.812
F: 0.659 0.847 0.290
F: 0.681 0.431 0.250
F: 0.944 0.153 0.312
F: 0.944 0.631 0.790
F: 0.965 0.215 0.750

Summary:
Fermi-level density of states	0.0	states/eV/cell
total magnetization	3.00	μB per formula unit
E	-5.44	eV per atom

=====

No. 2
VASP calculation (PBE with a Hubbard U) on crystalline Ba2Li3MoF12 at its relaxed geometry.

a = 7.094 Å, b = 7.094 Å, c = 7.094 Å
α = 65.76°, β = 65.76°, γ = 65.76°
Element x y z (fractional)
Ba: 0.152 0.152 0.152
Ba: 0.848 0.848 0.848
Li: 0.000 0.500 0.500
Li: 0.500 0.000 0.500
Li: 0.500 0.500 0.000
Mo: 0.500 0.500 0.500
F: 0.127 0.127 0.549
F: 0.127 0.549 0.127
F: 0.198 0.559 0.559
F: 0.441 0.441 0.802
F: 0.441 0.802 0.441
F: 0.451 0.873 0.873
F: 0.549 0.127 0.127
F: 0.559 0.198 0.559
F: 0.559 0.559 0.198
F: 0.802 0.441 0.441
F: 0.873 0.451 0.873
F: 0.873 0.873 0.451

Summary:
total magnetization	0.72	μB per formula unit
E	-5.07	eV per atom

=====

| no. | ρ (g/cm3) |
| --- | --- |
| 1 | 3.808 |
| 2 | 3.622 |